First-principles (PBE-GGA) data for a relaxed structure of Na2BiP2, as listed in Alexandria.

Calculated values
Formation energy   0.00 eV/f.u.
Relative energy among the computed polymorphs   0.0 meV per atom
M_tot   0.000 μB/cell
Total energy   -3.4681 eV per atom
ρ   4.82 g cm⁻³

Lattice parameters (Å, degrees): 8.398 8.398 3.098 90.00 90.00 90.00
Atoms (fractional coordinates):
Na 0.120 0.380 0.000
Na 0.380 0.880 0.000
Na 0.620 0.120 0.000
Na 0.880 0.620 0.000
Bi 0.000 0.000 0.500
Bi 0.500 0.500 0.500
P 0.180 0.680 0.500
P 0.320 0.180 0.500
P 0.680 0.820 0.500
P 0.820 0.320 0.500

First-principles (PBE-GGA) data for a relaxed structure of Na3BiP, as listed in Alexandria.

Calculated values
Formation energy   2.04 eV/f.u.
Relative energy among the computed polymorphs   324.1 meV per atom
M_tot   3.000 μB/cell
Total energy   -2.2419 eV per atom
ρ   2.39 g cm⁻³

Lattice parameters (Å, degrees): 5.988 5.988 5.988 90.00 90.00 90.00
Atoms (fractional coordinates):
Na 0.000 0.000 0.500
Na 0.000 0.500 0.000
Na 0.500 0.000 0.000
Bi 0.000 0.000 0.000
P 0.500 0.500 0.500